Density functional theory data (GGA-PBE) for Tl5PS4Br2 after structural relaxation.

Unit cell a=9.667 b=9.840 c=8.442 alpha=90.00 beta=90.00 gamma=90.00
Space group Amm2 (No. 38)
Inequivalent atoms, fractional coordinates:
Tl 0.000 0.000 0.000
Tl 0.270 0.195 0.523
P 0.500 0.000 0.948
S 0.326 0.000 0.090
S 0.500 0.173 0.811
Br 0.000 0.240 0.267

## Properties
- total magnetic moment (μB per cell) = 0.0
- E_form (uncorrected) (meV per atom) = -544
- E (eV/atom) = -3.64